Model one:
{"formula": "CaB2O4", "functional": "GGA-PBE", "state": "optimized geometry", "lattice_angstrom": [[9.088, 0.000, 0.000], [0.000, 9.088, 0.000], [0.000, 0.000, 9.088]], "species": ["Ca", "Ca", "Ca", "Ca", "Ca", "Ca", "Ca", "Ca", "Ca", "Ca", "Ca", "Ca", "B", "B", "B", "B", "B", "B", "B", "B", "B", "B", "B", "B", "B", "B", "B", "B", "B", "B", "B", "B", "B", "B", "B", "B", "O", "O", "O", "O", "O", "O", "O", "O", "O", "O", "O", "O", "O", "O", "O", "O", "O", "O", "O", "O", "O", "O", "O", "O", "O", "O", "O", "O", "O", "O", "O", "O", "O", "O", "O", "O", "O", "O", "O", "O", "O", "O", "O", "O", "O", "O", "O", "O"], "fractional_positions": [[0.373, 0.127, 0.873], [0.127, 0.873, 0.373], [0.873, 0.373, 0.127], [0.627, 0.627, 0.627], [0.627, 0.873, 0.127], [0.873, 0.127, 0.627], [0.127, 0.627, 0.873], [0.373, 0.373, 0.373], [0.000, 0.500, 0.500], [0.500, 0.500, 0.000], [0.500, 0.000, 0.500], [0.000, 0.000, 0.000], [0.810, 0.845, 0.381], [0.619, 0.190, 0.155], [0.119, 0.310, 0.845], [0.381, 0.690, 0.345], [0.310, 0.845, 0.119], [0.345, 0.381, 0.690], [0.845, 0.119, 0.310], [0.190, 0.155, 0.619], [0.155, 0.619, 0.190], [0.690, 0.345, 0.381], [0.810, 0.655, 0.881], [0.655, 0.881, 0.810], [0.119, 0.190, 0.345], [0.345, 0.119, 0.190], [0.190, 0.345, 0.119], [0.310, 0.655, 0.619], [0.845, 0.381, 0.810], [0.881, 0.810, 0.655], [0.155, 0.881, 0.690], [0.655, 0.619, 0.310], [0.690, 0.155, 0.881], [0.619, 0.310, 0.655], [0.881, 0.690, 0.155], [0.381, 0.810, 0.845], [0.591, 0.282, 0.494], [0.909, 0.718, 0.994], [0.994, 0.909, 0.718], [0.718, 0.994, 0.909], [0.782, 0.006, 0.409], [0.494, 0.591, 0.282], [0.282, 0.494, 0.591], [0.506, 0.091, 0.218], [0.006, 0.409, 0.782], [0.218, 0.506, 0.091], [0.409, 0.782, 0.006], [0.091, 0.218, 0.506], [0.332, 0.268, 0.120], [0.120, 0.332, 0.268], [0.268, 0.120, 0.332], [0.232, 0.880, 0.832], [0.620, 0.168, 0.732], [0.732, 0.620, 0.168], [0.380, 0.668, 0.768], [0.880, 0.832, 0.232], [0.768, 0.380, 0.668], [0.832, 0.232, 0.880], [0.668, 0.768, 0.380], [0.168, 0.732, 0.620], [0.668, 0.732, 0.880], [0.880, 0.668, 0.732], [0.732, 0.880, 0.668], [0.768, 0.120, 0.168], [0.380, 0.832, 0.268], [0.268, 0.380, 0.832], [0.620, 0.332, 0.232], [0.120, 0.168, 0.768], [0.232, 0.620, 0.332], [0.168, 0.768, 0.120], [0.332, 0.232, 0.620], [0.832, 0.268, 0.380], [0.091, 0.282, 0.006], [0.006, 0.091, 0.282], [0.282, 0.006, 0.091], [0.409, 0.718, 0.506], [0.506, 0.409, 0.718], [0.718, 0.506, 0.409], [0.494, 0.909, 0.782], [0.994, 0.591, 0.218], [0.782, 0.494, 0.909], [0.591, 0.218, 0.994], [0.909, 0.782, 0.494], [0.218, 0.994, 0.591]], "total_magnetization_mub_per_fu": 0.00, "crystal_system": "cubic"}

=====

Model two:
{"formula": "CaB2O4", "functional": "GGA-PBE", "state": "optimized geometry", "lattice_angstrom": [[-1.826, 2.879, 2.245], [-1.714, -4.250, 0.345], [5.192, -1.586, 6.258]], "species": ["Ca", "Ca", "B", "B", "B", "B", "O", "O", "O", "O", "O", "O", "O", "O"], "fractional_positions": [[0.500, 0.000, 0.750], [0.500, 0.000, 0.250], [0.757, 0.513, 0.000], [0.243, 0.487, 0.000], [0.756, 0.513, 0.500], [0.244, 0.487, 0.500], [0.375, 0.235, 0.000], [0.625, 0.765, 0.000], [0.860, 0.235, 0.500], [0.140, 0.765, 0.500], [0.500, 0.500, 0.632], [0.000, 0.500, 0.868], [0.500, 0.500, 0.368], [0.000, 0.500, 0.132]], "total_magnetization_mub_per_fu": 0.00, "crystal_system": "orthorhombic"}

=====

Model three:
{"formula": "CaB2O4", "functional": "GGA-PBE", "state": "optimized geometry", "lattice_angstrom": [[5.055, 0.000, 0.000], [0.000, 8.428, 0.000], [0.000, 0.000, 14.012]], "species": ["Ca", "Ca", "Ca", "Ca", "Ca", "Ca", "Ca", "Ca", "B", "B", "B", "B", "B", "B", "B", "B", "B", "B", "B", "B", "B", "B", "B", "B", "O", "O", "O", "O", "O", "O", "O", "O", "O", "O", "O", "O", "O", "O", "O", "O", "O", "O", "O", "O", "O", "O", "O", "O", "O", "O", "O", "O", "O", "O", "O", "O"], "fractional_positions": [[0.619, 0.385, 0.356], [0.619, 0.115, 0.144], [0.881, 0.885, 0.644], [0.881, 0.615, 0.856], [0.381, 0.615, 0.644], [0.381, 0.885, 0.856], [0.119, 0.115, 0.356], [0.119, 0.385, 0.144], [0.869, 0.746, 0.449], [0.869, 0.754, 0.051], [0.631, 0.246, 0.551], [0.631, 0.254, 0.949], [0.131, 0.254, 0.551], [0.131, 0.246, 0.949], [0.369, 0.754, 0.449], [0.369, 0.746, 0.051], [0.624, 0.537, 0.138], [0.624, 0.963, 0.362], [0.876, 0.037, 0.862], [0.876, 0.463, 0.638], [0.376, 0.463, 0.862], [0.376, 0.037, 0.638], [0.124, 0.963, 0.138], [0.124, 0.537, 0.362], [0.357, 0.889, 0.114], [0.357, 0.611, 0.386], [0.143, 0.389, 0.886], [0.143, 0.111, 0.614], [0.643, 0.111, 0.886], [0.643, 0.389, 0.614], [0.857, 0.611, 0.114], [0.857, 0.889, 0.386], [0.628, 0.395, 0.186], [0.628, 0.105, 0.314], [0.872, 0.895, 0.814], [0.872, 0.605, 0.686], [0.372, 0.605, 0.814], [0.372, 0.895, 0.686], [0.128, 0.105, 0.186], [0.128, 0.395, 0.314], [0.120, 0.741, 0.992], [0.120, 0.759, 0.508], [0.380, 0.241, 0.008], [0.380, 0.259, 0.492], [0.880, 0.259, 0.008], [0.880, 0.241, 0.492], [0.620, 0.759, 0.992], [0.620, 0.741, 0.508], [0.385, 0.601, 0.110], [0.385, 0.899, 0.390], [0.115, 0.101, 0.890], [0.115, 0.399, 0.610], [0.615, 0.399, 0.890], [0.615, 0.101, 0.610], [0.885, 0.899, 0.110], [0.885, 0.601, 0.390]], "total_magnetization_mub_per_fu": 0.00, "crystal_system": "orthorhombic"}

=====

The structure with the greatest stability is model three.

=====

Model one:
{"formula": "CaB3Os", "functional": "GGA-PBE", "state": "optimized geometry", "lattice_angstrom": [[4.045, 0.000, 0.000], [0.000, 4.045, 0.000], [0.000, 0.000, 4.045]], "species": ["Ca", "B", "B", "B", "Os"], "fractional_positions": [[0.000, 0.000, 0.000], [0.000, 0.500, 0.000], [0.000, 0.000, 0.500], [0.500, 0.000, 0.000], [0.500, 0.500, 0.500]], "total_magnetization_mub_per_fu": 0.00, "crystal_system": "cubic"}

=====

Model two:
{"formula": "CaB3Os", "functional": "GGA-PBE", "state": "optimized geometry", "lattice_angstrom": [[-2.526, -1.312, 2.957], [-0.339, -4.013, -0.788], [3.617, 0.263, 1.923]], "species": ["Ca", "B", "B", "B", "Os"], "fractional_positions": [[0.982, 0.980, 0.032], [0.578, 0.919, 0.436], [0.578, 0.576, 0.093], [0.921, 0.576, 0.436], [0.452, 0.450, 0.562]], "total_magnetization_mub_per_fu": 0.00, "crystal_system": "trigonal"}

=====

Model three:
{"formula": "CaB3Os", "functional": "GGA-PBE", "state": "optimized geometry", "lattice_angstrom": [[-0.106, -3.487, -2.185], [3.401, 1.156, -2.010], [2.316, -1.857, 2.852]], "species": ["Ca", "B", "B", "B", "Os"], "fractional_positions": [[0.500, 0.500, 0.500], [0.000, 0.500, 0.000], [0.000, 0.000, 0.500], [0.500, 0.000, 0.000], [0.000, 0.000, 0.000]], "total_magnetization_mub_per_fu": 0.00, "crystal_system": "cubic"}

=====

The structure with the greatest stability is model two.

=====

Model one:
{"formula": "CaBOs", "functional": "GGA-PBE", "state": "optimized geometry", "lattice_angstrom": [[-1.328, -1.532, -3.984], [3.366, 0.388, -1.271], [-1.006, -3.119, 1.535]], "species": ["Ca", "B", "Os"], "fractional_positions": [[0.667, 0.333, 0.667], [0.167, 0.667, 0.333], [0.167, 0.000, 0.000]], "total_magnetization_mub_per_fu": 0.00, "crystal_system": "hexagonal"}

=====

Model two:
{"formula": "CaBOs", "functional": "GGA-PBE", "state": "optimized geometry", "lattice_angstrom": [[-1.008, 3.627, 1.474], [-3.270, -1.617, 1.744], [4.269, -1.502, 6.612]], "species": ["B", "B", "Ca", "Ca", "Os", "Os"], "fractional_positions": [[0.500, 0.000, 0.578], [0.000, 0.500, 0.422], [0.500, 0.000, 0.209], [0.000, 0.500, 0.791], [0.500, 0.500, 0.500], [0.000, 0.000, 0.500]], "total_magnetization_mub_per_fu": 0.00, "crystal_system": "tetragonal"}

=====

The structure with the greatest stability is model two.

=====

Model one:
{"formula": "CaBOs3", "functional": "GGA-PBE", "state": "optimized geometry", "lattice_angstrom": [[4.220, 0.000, 0.000], [0.000, 4.220, 0.000], [0.000, 0.000, 4.220]], "species": ["Ca", "B", "Os", "Os", "Os"], "fractional_positions": [[0.500, 0.500, 0.500], [0.000, 0.000, 0.000], [0.000, 0.500, 0.000], [0.000, 0.000, 0.500], [0.500, 0.000, 0.000]], "total_magnetization_mub_per_fu": 1.23, "crystal_system": "cubic"}

=====

Model two:
{"formula": "CaBOs3", "functional": "GGA-PBE", "state": "optimized geometry", "lattice_angstrom": [[4.686, 0.000, 0.000], [0.000, 4.686, 0.000], [0.000, 0.000, 4.686]], "species": ["Ca", "B", "Os", "Os", "Os"], "fractional_positions": [[0.000, 0.000, 0.000], [0.500, 0.500, 0.500], [0.000, 0.500, 0.000], [0.000, 0.000, 0.500], [0.500, 0.000, 0.000]], "total_magnetization_mub_per_fu": 3.52, "crystal_system": "cubic"}

=====

The structure with the greatest stability is model one.

=====

Model one:
{"formula": "CaBP2S", "functional": "GGA-PBE", "state": "optimized geometry", "lattice_angstrom": [[5.255, 0.000, 0.000], [0.000, 5.134, 0.000], [0.000, 0.000, 5.255]], "species": ["P", "P", "Ca", "B", "S"], "fractional_positions": [[0.000, 0.000, 0.500], [0.500, 0.000, 0.000], [0.000, 0.000, 0.000], [0.500, 0.500, 0.500], [0.000, 0.500, 0.000]], "total_magnetization_mub_per_fu": 0.00, "crystal_system": "tetragonal"}

=====

Model two:
{"formula": "CaBP2S", "functional": "GGA-PBE", "state": "optimized geometry", "lattice_angstrom": [[3.930, 0.000, 0.000], [0.000, 3.930, 0.000], [0.000, 0.000, 6.183]], "species": ["P", "P", "Ca", "B", "S"], "fractional_positions": [[0.000, 0.500, 0.000], [0.500, 0.000, 0.000], [0.500, 0.500, 0.500], [0.000, 0.000, 0.000], [0.000, 0.000, 0.500]], "total_magnetization_mub_per_fu": 0.00, "crystal_system": "tetragonal"}

=====

The structure with the greatest stability is model two.

=====

Model one:
{"formula": "CaBPS2", "functional": "GGA-PBE", "state": "optimized geometry", "lattice_angstrom": [[4.737, 0.000, 0.000], [0.000, 4.737, 0.000], [0.000, 0.000, 3.799]], "species": ["P", "Ca", "B", "S", "S"], "fractional_positions": [[0.000, 0.000, 0.500], [0.500, 0.500, 0.500], [0.000, 0.000, 0.000], [0.000, 0.500, 0.000], [0.500, 0.000, 0.000]], "total_magnetization_mub_per_fu": 0.00, "crystal_system": "tetragonal"}

=====

Model two:
{"formula": "CaBPS2", "functional": "GGA-PBE", "state": "optimized geometry", "lattice_angstrom": [[5.235, 0.000, 0.000], [0.000, 5.235, 0.000], [0.000, 0.000, 5.398]], "species": ["P", "Ca", "B", "S", "S"], "fractional_positions": [[0.000, 0.000, 0.500], [0.000, 0.000, 0.000], [0.500, 0.500, 0.500], [0.000, 0.500, 0.000], [0.500, 0.000, 0.000]], "total_magnetization_mub_per_fu": 2.22, "crystal_system": "tetragonal"}

=====

The structure with the greatest stability is model one.